No. 1
{"formula": "LaHfCr2Ir", "functional": "PBE", "state": "relaxed", "cell": [[4.6186, 0.0000, 0.0000], [0.0000, 4.9935, 0.0000], [0.0000, 0.0000, 4.6186]], "species": ["Ir", "Cr", "Cr", "La", "Hf"], "frac_coords": [[0.0000, 0.5000, 0.0000], [0.0000, 0.0000, 0.5000], [0.5000, 0.0000, 0.0000], [0.0000, 0.0000, 0.0000], [0.5000, 0.5000, 0.5000]], "crystal_system": "tetragonal", "delta_e_f_kcal_per_mol_atoms": 36.40}


No. 2
{"formula": "Na2SnBr", "functional": "PBE", "state": "relaxed", "cell": [[-2.5377, 1.3722, -2.4503], [-2.2642, -2.3629, -1.9018], [-8.3215, 0.2473, 5.8332]], "species": ["Br", "Na", "Na", "Sn"], "frac_coords": [[0.5000, 0.5000, 0.5000], [0.8973, 0.8973, 0.3081], [0.1027, 0.1027, 0.6919], [0.0000, 0.0000, 0.0000]], "e_above_lowest_polymorph_mev_per_atom": 139, "raw_formation_energy_ev_per_atom": -0.577, "crystal_system": "trigonal"}